Here is Tb4Y8Ho3 after structural relaxation from the Alexandria database. Energies are from GGA-PBE.

## Properties
E_form	0.15	eV/atom
E_tot	-81.748	eV per cell
density of states at the Fermi level	23.93	states/eV/f.u.
distance to the lowest polymorph of the same formula	0.00	eV per formula unit
space group	No. 166

Unit cell a=6.9492 b=6.9492 c=12.4064 alpha=73.74 beta=73.74 gamma=60.00
Fractional positions:
Ho  0.5000  0.0000  0.5000
Ho  0.0000  0.0000  0.5000
Ho  0.0000  0.5000  0.5000
Y  0.7504  0.7504  0.2508
Y  0.2451  0.2451  0.2646
Y  0.2484  0.7504  0.2508
Y  0.7549  0.7549  0.7354
Y  0.7516  0.2496  0.7492
Y  0.2496  0.7516  0.7492
Y  0.2496  0.2496  0.7492
Y  0.7504  0.2484  0.2508
Tb  0.0000  0.0000  0.0000
Tb  0.6639  0.6639  0.0084
Tb  0.5000  0.5000  0.5000
Tb  0.3361  0.3361  0.9916